(1)
## WSe7 (PBE-GGA)

Data for a relaxed WSe7 crystal.

Computed properties:
Its uncorrected formation energy is 915.4 meV/atom. Its total magnetic moment is 3.3 μB/f.u.

```
data_WSe7
_cell_length_a 8.587
_cell_length_b 8.587
_cell_length_c 8.587
_cell_angle_alpha 90.00
_cell_angle_beta 90.00
_cell_angle_gamma 90.00
_symmetry_space_group_name_H-M 'F m -3 m'
_symmetry_Int_Tables_number 225
_symmetry_space_group_name_Hall '-F 4 2 3'
loop_
_atom_site_label
_atom_site_type_symbol
_atom_site_fract_x
_atom_site_fract_y
_atom_site_fract_z
W1 W 0.000 0.000 0.000
Se1 Se 0.000 0.000 0.500
Se2 Se 0.000 0.250 0.250
```

(2)
## BaAsBr2N (PBE-GGA)

Data for a relaxed BaAsBr2N crystal.

Computed properties:
Its uncorrected formation energy is 511.3 meV/atom. Its total magnetic moment is 6.0 μB/f.u.

```
data_BaAsBr2N
_cell_length_a 6.272
_cell_length_b 6.272
_cell_length_c 7.722
_cell_angle_alpha 90.00
_cell_angle_beta 90.00
_cell_angle_gamma 90.00
_symmetry_space_group_name_H-M 'P 4/m m m'
_symmetry_Int_Tables_number 123
_symmetry_space_group_name_Hall '-P 4 2'
loop_
_atom_site_label
_atom_site_type_symbol
_atom_site_fract_x
_atom_site_fract_y
_atom_site_fract_z
Ba1 Ba 0.000 0.000 0.000
As1 As 0.000 0.000 0.500
Br1 Br 0.000 0.500 0.000
N1 N 0.500 0.500 0.500
```